A relaxed structure of Na4TaO4, computed with PBE.

Output
* calculated total energy: -5.930 eV per atom
* formation energy from raw total energies: -1583 kJ/mol of formula units
* ΔE to the lowest computed polymorph: 74 meV per atom

Cell: 6.015 6.015 6.639 Å, 116.94 116.94 90.00°
Sites, in units of the cell vectors:
Na 0.500 0.000 0.000
Na 0.000 0.500 0.000
Na 0.304 0.304 0.609
Na 0.696 0.696 0.391
Ta 0.000 0.000 0.000
O 0.713 0.713 0.792
O 0.287 0.922 0.208
O 0.078 0.078 0.792
O 0.922 0.287 0.208



A relaxed structure of NaTaO2, computed with PBE.

Output
* calculated total energy: -7.459 eV per atom
* formation energy from raw total energies: -651 kJ/mol of formula units

Cell: 4.936 4.936 6.529 Å, 67.79 67.79 90.00°
Site moments in Bohr magnetons follow the coordinates.
Sites, in units of the cell vectors:
Na 0.500 0.500 0.000  0.00
Na 0.250 0.750 0.500  0.00
O 0.743 0.125 0.250  0.00
O 0.007 0.625 0.250  0.00
O 0.375 0.257 0.750  0.00
O 0.875 0.993 0.750  0.00
Ta 0.000 0.000 0.000  0.21
Ta 0.750 0.250 0.500  0.22



A relaxed structure of Na4TaO4, computed with PBE.

Output
* calculated total energy: -6.004 eV per atom
* formation energy from raw total energies: -1647 kJ/mol of formula units
* ΔE to the lowest computed polymorph: 0 meV per atom

Cell: 8.712 6.333 6.333 Å, 90.00 90.00 90.00°
Sites, in units of the cell vectors:
Na 0.328 0.258 0.000
Na 0.828 0.500 0.758
Na 0.328 0.742 0.000
Na 0.172 0.242 0.500
Na 0.672 0.000 0.742
Na 0.172 0.758 0.500
Na 0.828 0.500 0.242
Na 0.672 0.000 0.258
Ta 0.000 0.000 0.000
Ta 0.500 0.500 0.500
O 0.636 0.730 0.500
O 0.636 0.270 0.500
O 0.136 0.000 0.770
O 0.864 0.230 0.000
O 0.864 0.770 0.000
O 0.364 0.500 0.270
O 0.364 0.500 0.730
O 0.136 0.000 0.230